SrLiAsSe2: relaxed, PBE.

The value obtained for the total magnetic moment is 2.81 μB per formula unit. The calculation puts the energy relative to the lowest polymorph listed for this composition at 682 meV per atom. For the formation energy from raw total energies, the calculation gives 0.08 eV/atom. For the volume, the calculation gives 40.47 Å³ per atom.

The space group is P4/mmm (No. 123) and the conventional cell measures 5.854, 5.854 and 5.905 Å, with angles of 90.00, 90.00 and 90.00 degrees. The inequivalent atoms are Sr at (0.000, 0.000, 0.000), Li at (0.500, 0.500, 0.500), As at (0.000, 0.000, 0.500) and Se at (0.000, 0.500, 0.000).

=====

SrLiAs2Se: relaxed, PBE.

The value obtained for the total magnetic moment is 0.00 μB per formula unit. The calculation puts the energy relative to the lowest polymorph listed for this composition at 145 meV per atom. For the formation energy from raw total energies, the calculation gives -0.25 eV/atom. For the volume, the calculation gives 25.25 Å³ per atom.

The space group is P4/mmm (No. 123) and the conventional cell measures 4.455, 4.455 and 6.361 Å, with angles of 90.00, 90.00 and 90.00 degrees. The inequivalent atoms are Sr at (0.000, 0.000, 0.000), Li at (0.000, 0.000, 0.500), As at (0.000, 0.500, 0.500) and Se at (0.500, 0.500, 0.000).

=====

SrLiAsSe2: relaxed, PBE.

The value obtained for the total magnetic moment is 0.00 μB per formula unit. The calculation puts the energy relative to the lowest polymorph listed for this composition at 0 meV per atom. For the formation energy from raw total energies, the calculation gives -0.60 eV/atom. For the volume, the calculation gives 23.19 Å³ per atom.

The space group is P4/mmm (No. 123) and the conventional cell measures 5.064, 5.064 and 4.522 Å, with angles of 90.00, 90.00 and 90.00 degrees. The inequivalent atoms are Sr at (0.000, 0.000, 0.000), Li at (0.500, 0.500, 0.500), As at (0.500, 0.500, 0.000) and Se at (0.000, 0.500, 0.500).

=====

SrLiAs2Se: relaxed, PBE.

The value obtained for the total magnetic moment is 0.00 μB per formula unit. The calculation puts the energy relative to the lowest polymorph listed for this composition at 0 meV per atom. For the formation energy from raw total energies, the calculation gives -0.40 eV/atom. For the volume, the calculation gives 22.81 Å³ per atom.

The space group is P4/mmm (No. 123) and the conventional cell measures 4.671, 4.671 and 5.227 Å, with angles of 90.00, 90.00 and 90.00 degrees. The inequivalent atoms are Sr at (0.000, 0.000, 0.000), Li at (0.500, 0.500, 0.500), As at (0.000, 0.500, 0.500) and Se at (0.500, 0.500, 0.000).

=====

SrLiAs2Se4: relaxed, PBE.

The value obtained for the total magnetic moment is 0.00 μB per formula unit. For the formation energy from raw total energies, the calculation gives -0.68 eV/atom. For the volume, the calculation gives 24.67 Å³ per atom.

The space group is I222 (No. 23) and the conventional cell measures 6.963, 7.155 and 7.922 Å, with angles of 90.00, 90.00 and 90.00 degrees. The inequivalent atoms are Sr at (0.000, 0.000, 0.000), Li at (0.000, 0.000, 0.500), As at (0.000, 0.500, 0.307) and Se at (0.234, 0.197, 0.672).

=====

SrLiAs2Se: relaxed, PBE.

The value obtained for the total magnetic moment is 0.79 μB per formula unit. The calculation puts the energy relative to the lowest polymorph listed for this composition at 784 meV per atom. For the formation energy from raw total energies, the calculation gives 0.38 eV/atom. For the volume, the calculation gives 37.81 Å³ per atom.

The space group is P4/mmm (No. 123) and the conventional cell measures 5.734, 5.734 and 5.749 Å, with angles of 90.00, 90.00 and 90.00 degrees. The inequivalent atoms are Sr at (0.000, 0.000, 0.000), Li at (0.500, 0.500, 0.500), As at (0.000, 0.500, 0.000) and Se at (0.000, 0.000, 0.500).

=====

LiTaAs2Se: relaxed, PBE.

The value obtained for the total magnetic moment is 0.00 μB per formula unit. The calculation puts the energy relative to the lowest polymorph listed for this composition at 0 meV per atom. For the formation energy from raw total energies, the calculation gives -0.08 eV/atom. For the volume, the calculation gives 25.65 Å³ per atom.

The space group is P4/mmm (No. 123) and the conventional cell measures 5.043, 5.043 and 5.043 Å, with angles of 90.00, 90.00 and 90.00 degrees. The inequivalent atoms are Li at (0.000, 0.000, 0.000), Ta at (0.500, 0.500, 0.500), As at (0.000, 0.500, 0.500) and Se at (0.500, 0.500, 0.000).

=====

LiTaAs2Se: relaxed, PBE.

The value obtained for the total magnetic moment is 0.04 μB per formula unit. The calculation puts the energy relative to the lowest polymorph listed for this composition at 803 meV per atom. For the formation energy from raw total energies, the calculation gives 0.72 eV/atom. For the volume, the calculation gives 18.20 Å³ per atom.

The space group is P4/mmm (No. 123) and the conventional cell measures 4.390, 4.390 and 4.724 Å, with angles of 90.00, 90.00 and 90.00 degrees. The inequivalent atoms are Li at (0.000, 0.000, 0.000), Ta at (0.500, 0.500, 0.500), As at (0.000, 0.500, 0.000) and Se at (0.000, 0.000, 0.500).

=====

LiTaAsSe2: relaxed, PBE.

The value obtained for the total magnetic moment is 0.00 μB per formula unit. The calculation puts the energy relative to the lowest polymorph listed for this composition at 929 meV per atom. For the formation energy from raw total energies, the calculation gives 0.65 eV/atom. For the volume, the calculation gives 18.49 Å³ per atom.

The space group is P4/mmm (No. 123) and the conventional cell measures 4.588, 4.588 and 4.391 Å, with angles of 90.00, 90.00 and 90.00 degrees. The inequivalent atoms are Li at (0.000, 0.000, 0.000), Ta at (0.500, 0.500, 0.500), As at (0.000, 0.000, 0.500) and Se at (0.000, 0.500, 0.000).

=====

LiTaAsSe2: relaxed, PBE.

The value obtained for the total magnetic moment is 0.00 μB per formula unit. The calculation puts the energy relative to the lowest polymorph listed for this composition at 0 meV per atom. For the formation energy from raw total energies, the calculation gives -0.28 eV/atom. For the volume, the calculation gives 25.85 Å³ per atom.

The space group is P4/mmm (No. 123) and the conventional cell measures 5.054, 5.054 and 5.059 Å, with angles of 90.00, 90.00 and 90.00 degrees. The inequivalent atoms are Li at (0.000, 0.000, 0.000), Ta at (0.500, 0.500, 0.500), As at (0.500, 0.500, 0.000) and Se at (0.000, 0.500, 0.500).

=====

LiTaAsSe2: relaxed, PBE.

The value obtained for the total magnetic moment is 2.48 μB per formula unit. The calculation puts the energy relative to the lowest polymorph listed for this composition at 938 meV per atom. For the formation energy from raw total energies, the calculation gives 0.66 eV/atom. For the volume, the calculation gives 27.09 Å³ per atom.

The space group is P4/mmm (No. 123) and the conventional cell measures 5.267, 5.267 and 4.881 Å, with angles of 90.00, 90.00 and 90.00 degrees. The inequivalent atoms are Li at (0.000, 0.000, 0.000), Ta at (0.500, 0.500, 0.000), As at (0.500, 0.500, 0.500) and Se at (0.000, 0.500, 0.500).

=====

LiTcAsSe2: relaxed, PBE.

The value obtained for the total magnetic moment is 0.99 μB per formula unit. The calculation puts the energy relative to the lowest polymorph listed for this composition at 0 meV per atom. For the formation energy from raw total energies, the calculation gives 0.13 eV/atom. For the volume, the calculation gives 24.12 Å³ per atom.

The space group is P4/mmm (No. 123) and the conventional cell measures 5.048, 5.048 and 4.733 Å, with angles of 90.00, 90.00 and 90.00 degrees. The inequivalent atoms are Li at (0.000, 0.000, 0.000), Tc at (0.500, 0.500, 0.500), As at (0.500, 0.500, 0.000) and Se at (0.000, 0.500, 0.500).

=====

LiTeAsSe2: relaxed, PBE.

The value obtained for the total magnetic moment is 1.08 μB per formula unit. The calculation puts the energy relative to the lowest polymorph listed for this composition at 0 meV per atom. For the formation energy from raw total energies, the calculation gives 0.34 eV/atom. For the volume, the calculation gives 31.97 Å³ per atom.

The space group is P4/mmm (No. 123) and the conventional cell measures 5.470, 5.470 and 5.341 Å, with angles of 90.00, 90.00 and 90.00 degrees. The inequivalent atoms are Li at (0.000, 0.000, 0.000), Te at (0.500, 0.500, 0.500), As at (0.500, 0.500, 0.000) and Se at (0.000, 0.500, 0.500).

=====

LiTeAs2Se: relaxed, PBE.

The value obtained for the total magnetic moment is 0.00 μB per formula unit. The calculation puts the energy relative to the lowest polymorph listed for this composition at 41 meV per atom. For the formation energy from raw total energies, the calculation gives 0.48 eV/atom. For the volume, the calculation gives 28.66 Å³ per atom.

The space group is P4/mmm (No. 123) and the conventional cell measures 5.085, 5.085 and 5.541 Å, with angles of 90.00, 90.00 and 90.00 degrees. The inequivalent atoms are Li at (0.000, 0.000, 0.000), Te at (0.500, 0.500, 0.000), As at (0.000, 0.500, 0.500) and Se at (0.500, 0.500, 0.500).